Entry 1:
DFT (PBE) results for an optimized crystal structure of SrLaGaCuO5.

The structure belongs to space group Cm (No. 8); the cell edges are 7.763, 16.607 and 5.376 Å and the angles 90.00°, 133.59° and 90.00°. The distinct sites, in fractional coordinates, are Sr at (0.000, 0.139, 0.000), La at (0.041, 0.353, 0.045), Ga at (0.076, 0.000, 0.610), Ga at (0.444, 0.000, 0.469), Cu at (0.021, 0.250, 0.520), O at (0.067, 0.400, 0.516), O at (0.135, 0.000, 0.017), O at (0.268, 0.245, 0.019), O at (0.273, 0.243, 0.524), O at (0.389, 0.000, 0.773) and O at (0.437, 0.402, 0.402).

The value obtained for the density of states at the Fermi level is 4.5 states/eV per cell. For the uncorrected energy, the calculation gives -6.5396 eV/atom. As for the energy above the most stable polymorph in this dataset: 0.007 eV per atom. As for the magnetic moment: 0.0 μB/f.u. Its crystal system is monoclinic.

Entry 2:
DFT (PBE) results for an optimized crystal structure of SrLaGaCuO5.

The structure belongs to space group Cc (No. 9); the cell edges are 17.497, 5.617 and 5.378 Å and the angles 90.00°, 107.45° and 90.00°. The distinct sites, in fractional coordinates, are Sr at (0.000, 0.233, 0.000), La at (0.216, 0.270, 0.208), Ga at (0.362, 0.184, 0.827), Cu at (0.108, 0.248, 0.606), O at (0.113, 0.494, 0.356), O at (0.125, 0.000, 0.373), O at (0.266, 0.327, 0.813), O at (0.354, 0.128, 0.465) and O at (0.463, 0.296, 0.986).

The value obtained for the density of states at the Fermi level is 7.1 states/eV per cell. For the uncorrected energy, the calculation gives -6.5467 eV/atom. As for the energy above the most stable polymorph in this dataset: 0.000 eV per atom. As for the magnetic moment: 0.0 μB/f.u. Its crystal system is monoclinic.

Entry 3:
DFT (PBE) results for an optimized crystal structure of LaGa4Cu2Os.

The structure belongs to space group R-3m (No. 166, hexagonal axes); the cell edges are 4.2246, 4.2246 and 27.6130 Å and the angles 90.00°, 90.00° and 120.00°. The distinct sites, in fractional coordinates, are La at (0.0000, 0.0000, 0.0000), Ga at (0.0000, 0.0000, 0.1330), Ga at (0.0000, 0.0000, 0.4044), Cu at (0.0000, 0.0000, 0.2323) and Os at (0.0000, 0.0000, 0.5000).

The value obtained for the density of states at the Fermi level is 9.4 states/eV per cell. For the uncorrected energy, the calculation gives -4.7776 eV/atom. As for the magnetic moment: 0.0 μB/f.u. The calculation puts the formation enthalpy at 0 K at -0.2204 eV/atom. Its crystal system is trigonal.

Entry 4:
DFT (PBE) results for an optimized crystal structure of LaGa2CuPd.

The structure belongs to space group I-4m2 (No. 119); the cell edges are 4.417, 4.417 and 10.038 Å and the angles 90.00°, 90.00° and 90.00°. The distinct sites, in fractional coordinates, are La at (0.000, 0.000, 0.000), Ga at (0.000, 0.000, 0.371), Cu at (0.000, 0.500, 0.750) and Pd at (0.000, 0.500, 0.250).

The value obtained for the density of states at the Fermi level is 9.3 states/eV per cell. For the uncorrected energy, the calculation gives -4.6576 eV/atom. As for the magnetic moment: 0.0 μB/f.u. The calculation puts the formation enthalpy at 0 K at -0.6036 eV/atom. Its crystal system is tetragonal.

Entry 5:
DFT (PBE) results for an optimized crystal structure of LaGa2Cu2Pd.

The structure belongs to space group P4/mmm (No. 123); the cell edges are 4.789, 4.789 and 5.467 Å and the angles 90.00°, 90.00° and 90.00°. The distinct sites, in fractional coordinates, are La at (0.000, 0.000, 0.000), Ga at (0.000, 0.500, 0.500), Cu at (0.500, 0.500, 0.233) and Pd at (0.000, 0.000, 0.500).

The value obtained for the density of states at the Fermi level is 4.2 states/eV per cell. For the uncorrected energy, the calculation gives -4.2114 eV/atom. As for the magnetic moment: 0.0 μB/f.u. The calculation puts the formation enthalpy at 0 K at -0.1503 eV/atom. Its crystal system is tetragonal.

Entry 6:
DFT (PBE) results for an optimized crystal structure of LaGaCuPd.

The structure belongs to space group F-43m (No. 216); the cell edges are 6.817, 6.817 and 6.817 Å and the angles 90.00°, 90.00° and 90.00°. The distinct sites, in fractional coordinates, are La at (0.000, 0.000, 0.000), Ga at (0.000, 0.000, 0.500), Cu at (0.250, 0.250, 0.250) and Pd at (0.250, 0.250, 0.750).

The value obtained for the density of states at the Fermi level is 13.6 states/eV per cell. For the uncorrected energy, the calculation gives -4.7421 eV/atom. As for the energy above the most stable polymorph in this dataset: 0.143 eV per atom. As for the magnetic moment: 0.0 μB/f.u. The calculation puts the formation enthalpy at 0 K at -0.4313 eV/atom. Its crystal system is cubic.

Entry 7:
DFT (PBE) results for an optimized crystal structure of LaGaCuPd.

The structure belongs to space group R3m (No. 160, hexagonal axes); the cell edges are 4.4014, 4.4014 and 14.7338 Å and the angles 90.00°, 90.00° and 120.00°. The distinct sites, in fractional coordinates, are La at (0.0000, 0.0000, 0.0000), Ga at (0.0000, 0.0000, 0.5070), Cu at (0.0000, 0.0000, 0.2026) and Pd at (0.0000, 0.0000, 0.7959).

The value obtained for the density of states at the Fermi level is 9.9 states/eV per cell. For the uncorrected energy, the calculation gives -4.8847 eV/atom. As for the energy above the most stable polymorph in this dataset: 0.000 eV per atom. As for the magnetic moment: 0.0 μB/f.u. The calculation puts the formation enthalpy at 0 K at -0.5738 eV/atom. Its crystal system is trigonal.

Entry 8:
DFT (PBE) results for an optimized crystal structure of La2Ga3Cu4Pd.

The structure belongs to space group P-4m2 (No. 115); the cell edges are 4.246, 4.246 and 10.376 Å and the angles 90.00°, 90.00° and 90.00°. The distinct sites, in fractional coordinates, are La at (0.000, 0.500, 0.249), Ga at (0.000, 0.500, 0.877), Ga at (0.500, 0.500, 0.500), Cu at (0.000, 0.000, 0.000), Cu at (0.000, 0.500, 0.639), Cu at (0.500, 0.500, 0.000) and Pd at (0.000, 0.000, 0.500).

The value obtained for the density of states at the Fermi level is 5.9 states/eV per cell. For the uncorrected energy, the calculation gives -4.4866 eV/atom. As for the magnetic moment: 0.0 μB/f.u. The calculation puts the formation enthalpy at 0 K at -0.4353 eV/atom. Its crystal system is tetragonal.

Entry 9:
DFT (PBE) results for an optimized crystal structure of La2GaCuPd6.

The structure belongs to space group R-3m (No. 166, hexagonal axes); the cell edges are 5.7167, 5.7167 and 22.8044 Å and the angles 90.00°, 90.00° and 120.00°. The distinct sites, in fractional coordinates, are La at (0.0000, 0.0000, 0.2128), Ga at (0.0000, 0.0000, 0.0000), Cu at (0.0000, 0.0000, 0.5000) and Pd at (0.0036, 0.5018, 0.2519).

The value obtained for the density of states at the Fermi level is 16.2 states/eV per cell. For the uncorrected energy, the calculation gives -5.3790 eV/atom. As for the magnetic moment: 0.0 μB/f.u. The calculation puts the formation enthalpy at 0 K at -0.5655 eV/atom. Its crystal system is trigonal.

Entry 10:
DFT (PBE) results for an optimized crystal structure of La3GaCu2Pd9.

The structure belongs to space group P-3m1 (No. 164); the cell edges are 7.5624, 7.5624 and 6.2996 Å and the angles 90.00°, 90.00° and 120.00°. The distinct sites, in fractional coordinates, are La at (0.0000, 0.0000, 0.0000), La at (0.3333, 0.6667, 0.6722), Ga at (0.0000, 0.0000, 0.5000), Cu at (0.3333, 0.6667, 0.1692), Pd at (0.0000, 0.5000, 0.0000) and Pd at (0.1650, 0.3301, 0.3291).

The value obtained for the density of states at the Fermi level is 6.6 states/eV per cell. For the uncorrected energy, the calculation gives -5.2626 eV/atom. As for the magnetic moment: 0.0 μB/f.u. The calculation puts the formation enthalpy at 0 K at -0.4134 eV/atom. Its crystal system is trigonal.

Entry 11:
DFT (PBE) results for an optimized crystal structure of La2Ga3CuPd4.

The structure belongs to space group P-4m2 (No. 115); the cell edges are 4.360, 4.360 and 10.391 Å and the angles 90.00°, 90.00° and 90.00°. The distinct sites, in fractional coordinates, are La at (0.000, 0.500, 0.245), Ga at (0.000, 0.000, 0.000), Ga at (0.000, 0.500, 0.626), Cu at (0.500, 0.500, 0.000), Pd at (0.000, 0.000, 0.500), Pd at (0.000, 0.500, 0.868) and Pd at (0.500, 0.500, 0.500).

The value obtained for the density of states at the Fermi level is 5.1 states/eV per cell. For the uncorrected energy, the calculation gives -5.1266 eV/atom. As for the magnetic moment: 0.0 μB/f.u. The calculation puts the formation enthalpy at 0 K at -0.7463 eV/atom. Its crystal system is tetragonal.

Entry 12:
DFT (PBE) results for an optimized crystal structure of La2Ga3Cu12Pd.

The structure belongs to space group R-3m (No. 166, hexagonal axes); the cell edges are 6.1925, 6.1925 and 27.7152 Å and the angles 90.00°, 90.00° and 120.00°. The distinct sites, in fractional coordinates, are La at (0.0000, 0.0000, 0.1516), Ga at (0.0000, 0.5000, 0.0000), Cu at (0.0516, 0.5258, 0.0936), Cu at (0.0743, 0.5372, 0.6179) and Pd at (0.0000, 0.0000, 0.5000).

The value obtained for the density of states at the Fermi level is 29.9 states/eV per cell. For the uncorrected energy, the calculation gives -4.0295 eV/atom. As for the magnetic moment: 0.0 μB/f.u. The calculation puts the formation enthalpy at 0 K at 0.0418 eV/atom. Its crystal system is trigonal.